Pm7Y3Er after structural relaxation. Source: Alexandria via LeMat-Bulk, functional PBE-GGA. Values from VASP.

```
&SYSTEM
  ibrav = 0, nat = 22, ntyp = 3
/
ATOMIC_SPECIES
Pm 145.00 Pm.upf
Y 88.91 Y.upf
Er 167.26 Er.upf
ATOMIC_POSITIONS angstrom
Pm -3.832 7.102 4.721
Pm -5.095 7.927 10.817
Pm -2.716 4.102 6.413
Pm -3.938 4.979 12.518
Pm -1.895 7.912 12.509
Pm -0.666 7.032 6.422
Pm -0.702 2.945 9.144
Pm 2.358 4.694 3.048
Pm 3.550 -0.273 -0.316
Pm 2.321 0.608 5.771
Pm 5.594 2.661 -0.326
Pm 4.371 3.537 5.780
Pm 6.750 -0.288 1.375
Pm 5.488 0.537 7.472
Y -2.332 6.022 9.522
Y 0.000 0.000 0.000
Y -1.236 0.863 6.096
Y -1.092 5.164 3.426
Y 2.748 2.476 8.766
Y 3.987 1.617 2.670
Er 2.064 2.956 0.000
Er 0.828 3.820 6.096
CELL_PARAMETERS angstrom
9.759 -2.417 -2.001
-5.631 8.330 2.002
-2.472 1.727 12.193
```

Summary:
Excess energy over the best structure of this formula in the dataset = 0 meV/atom
Spin magnetization = 0.00 μB/f.u.
Electronic total energy = -110.37 eV/cell
SG = C2/c, No. 15
Theoretical density = 6.156 g/cm³



K2SeF8 after structural relaxation. Source: Alexandria via LeMat-Bulk, functional PBE-GGA. Values from VASP.

```
&SYSTEM
  ibrav = 0, nat = 11, ntyp = 3
/
ATOMIC_SPECIES
K 39.10 K.upf
Se 78.96 Se.upf
F 19.00 F.upf
ATOMIC_POSITIONS angstrom
K 0.503 -2.115 3.280
K -1.749 -4.210 -0.426
Se 0.000 0.000 0.000
F 1.488 -0.111 5.314
F -1.051 -1.388 0.394
F -3.003 -0.828 3.171
F 1.757 -5.497 -0.318
F -0.195 -4.937 2.460
F -2.735 -6.214 -2.460
F 2.779 -2.254 2.172
F -4.025 -4.072 0.682
CELL_PARAMETERS angstrom
-4.376 0.057 2.484
-2.405 -6.895 -4.077
5.534 0.512 4.447
```

Summary:
Spin magnetization = 0.12 μB/f.u.
Electronic total energy = -41.88 eV/cell
SG = C2/m, No. 12
Raw formation energy = -21.2 eV/f.u.
Theoretical density = 2.376 g/cm³



HfUTe2 after structural relaxation. Source: Alexandria via LeMat-Bulk, functional PBE-GGA. Values from VASP.

```
&SYSTEM
  ibrav = 0, nat = 4, ntyp = 3
/
ATOMIC_SPECIES
Hf 178.49 Hf.upf
Te 127.60 Te.upf
U 238.03 U.upf
ATOMIC_POSITIONS angstrom
Hf 3.638 2.101 5.097
Te 1.819 1.050 7.043
Te 5.457 3.151 3.150
U 0.000 0.000 0.000
CELL_PARAMETERS angstrom
3.638 0.000 0.000
1.819 3.151 0.000
1.819 1.050 10.194
```

Summary:
Spin magnetization = 3.94 μB/f.u.
Electronic total energy = -27.85 eV/cell
SG = R-3m, No. 166
Raw formation energy = -0.3 eV/f.u.
Theoretical density = 9.545 g/cm³



ScNb2BS after structural relaxation. Source: Alexandria via LeMat-Bulk, functional PBE-GGA. Values from VASP.

```
&SYSTEM
  ibrav = 0, nat = 5, ntyp = 4
/
ATOMIC_SPECIES
Sc 44.96 Sc.upf
Nb 92.91 Nb.upf
B 10.81 B.upf
S 32.06 S.upf
ATOMIC_POSITIONS angstrom
Sc 0.849 -1.425 1.662
Nb 1.793 1.178 0.094
Nb -0.890 1.234 1.514
B 0.000 0.000 0.000
S 1.751 0.987 3.270
CELL_PARAMETERS angstrom
-1.781 2.469 3.028
1.698 -2.851 3.323
3.585 2.355 0.188
```

Summary:
Spin magnetization = 0.00 μB/f.u.
Electronic total energy = -36.93 eV/cell
SG = P4/mmm, No. 123
Raw formation energy = 0.3 eV/f.u.
Theoretical density = 5.248 g/cm³



GdPu2Hf after structural relaxation. Source: Alexandria via LeMat-Bulk, functional PBE-GGA. Values from VASP.

```
&SYSTEM
  ibrav = 0, nat = 4, ntyp = 3
/
ATOMIC_SPECIES
Gd 157.25 Gd.upf
Hf 178.49 Hf.upf
Pu 244.00 Pu.upf
ATOMIC_POSITIONS angstrom
Gd 2.386 0.000 0.000
Hf 2.386 2.335 2.335
Pu 0.000 0.000 2.335
Pu 0.000 2.335 0.000
CELL_PARAMETERS angstrom
4.773 0.000 0.000
0.000 4.670 0.000
0.000 0.000 4.670
```

Summary:
Excess energy over the best structure of this formula in the dataset = 58 meV/atom
Spin magnetization = 18.65 μB/f.u.
Electronic total energy = -51.74 eV/cell
SG = P4/mmm, No. 123
Theoretical density = 13.140 g/cm³



TmScCu2 after structural relaxation. Source: Alexandria via LeMat-Bulk, functional PBE-GGA. Values from VASP.

```
&SYSTEM
  ibrav = 0, nat = 4, ntyp = 3
/
ATOMIC_SPECIES
Sc 44.96 Sc.upf
Tm 168.93 Tm.upf
Cu 63.55 Cu.upf
ATOMIC_POSITIONS angstrom
Sc 0.000 0.000 0.000
Tm 4.725 2.728 1.929
Cu 2.363 1.364 0.965
Cu 7.088 4.092 2.894
CELL_PARAMETERS angstrom
4.725 0.000 0.000
2.363 4.092 0.000
2.363 1.364 3.858
```

Summary:
Excess energy over the best structure of this formula in the dataset = 10 meV/atom
Spin magnetization = 0.00 μB/f.u.
Electronic total energy = -20.07 eV/cell
SG = Fm-3m, No. 225
Theoretical density = 7.589 g/cm³



Q: Number 2 is which compound?
A: K2SeF8



Q: Look up the electronic total energy of the fourth one.
A: -36.93 eV/cell



Repeat the second record exactly.
K2SeF8 after structural relaxation. Source: Alexandria via LeMat-Bulk, functional PBE-GGA. Values from VASP.

```
&SYSTEM
  ibrav = 0, nat = 11, ntyp = 3
/
ATOMIC_SPECIES
K 39.10 K.upf
Se 78.96 Se.upf
F 19.00 F.upf
ATOMIC_POSITIONS angstrom
K 0.503 -2.115 3.280
K -1.749 -4.210 -0.426
Se 0.000 0.000 0.000
F 1.488 -0.111 5.314
F -1.051 -1.388 0.394
F -3.003 -0.828 3.171
F 1.757 -5.497 -0.318
F -0.195 -4.937 2.460
F -2.735 -6.214 -2.460
F 2.779 -2.254 2.172
F -4.025 -4.072 0.682
CELL_PARAMETERS angstrom
-4.376 0.057 2.484
-2.405 -6.895 -4.077
5.534 0.512 4.447
```

Summary:
Spin magnetization = 0.12 μB/f.u.
Electronic total energy = -41.88 eV/cell
SG = C2/m, No. 12
Raw formation energy = -21.2 eV/f.u.
Theoretical density = 2.376 g/cm³